Entry from Alexandria via LeMat-Bulk: AlZnCoAu after structural relaxation (GGA-PBE).

**Energy of formation**: -197.6 meV/atom
**Energy**: -4.0476 eV/atom
**Total magnetic moment**: 3.6 μB/cell

Cell lengths 6.087, 6.087, 6.087 Å; angles 90.00, 90.00, 90.00 degrees
Space group F-43m (No. 216)
Unique sites:
Al: 0.000 0.000 0.000 x4
Zn: 0.000 0.000 0.500 x4
Co: 0.250 0.250 0.250 x4
Au: 0.250 0.250 0.750 x4